1.
A relaxed structure of HS. Source: the Alexandria database, functional PBE.

Summary:
offset from the most stable computed form: 0.766 eV per atom
mass density: 2.0 g cm⁻³

abc: 2.854 2.854 7.835
angles: 90.00 90.00 120.00
Fractional coordinates of all 4 atoms:
H (0.333, 0.667, 0.329)
H (0.667, 0.333, 0.829)
S (0.333, 0.667, 0.753)
S (0.667, 0.333, 0.253)

2.
A relaxed structure of CeEr2Sb. Source: the Alexandria database, functional PBE.

Summary:
formation energy from raw total energies: -427 meV/atom
offset from the most stable computed form: 0.039 eV per atom
mass density: 9.0 g cm⁻³

abc: 3.905 3.905 7.234
angles: 90.00 90.00 90.00
Fractional coordinates of all 4 atoms:
Sb (0.500, 0.500, 0.000)
Ce (0.500, 0.500, 0.500)
Er (0.000, 0.000, 0.776)
Er (0.000, 0.000, 0.224)

3.
A relaxed structure of CdBi2Pd2. Source: the Alexandria database, functional PBE.

Summary:
formation energy from the elements: -6 kJ/mol of atoms
offset from the most stable computed form: 0.195 eV per atom
mass density: 10.1 g cm⁻³

abc: 3.961 3.961 8.304
angles: 76.20 76.20 90.00
Fractional coordinates of all 5 atoms:
Bi (0.379, 0.379, 0.243)
Bi (0.621, 0.621, 0.757)
Pd (0.750, 0.250, 0.500)
Pd (0.250, 0.750, 0.500)
Cd (0.000, 0.000, 0.000)

4.
A relaxed structure of Pm3AlPt3. Source: the Alexandria database, functional PBE.

Summary:
formation energy from the elements: -93 kJ/mol of atoms
mass density: 10.5 g cm⁻³

abc: 6.869 6.869 7.646
angles: 94.28 94.28 112.11
Fractional coordinates of all 14 atoms:
Pm (0.631, 0.631, 0.344)
Pm (0.187, 0.813, 0.500)
Pm (0.813, 0.187, 0.500)
Pm (0.234, 0.766, 0.000)
Pm (0.766, 0.234, 0.000)
Pm (0.369, 0.369, 0.656)
Al (0.725, 0.725, 0.966)
Al (0.275, 0.275, 0.034)
Pt (0.976, 0.976, 0.207)
Pt (0.841, 0.564, 0.716)
Pt (0.564, 0.841, 0.716)
Pt (0.159, 0.436, 0.284)
Pt (0.436, 0.159, 0.284)
Pt (0.024, 0.024, 0.793)

5.
A relaxed structure of AlCr2In. Source: the Alexandria database, functional PBE.

Summary:
formation energy from the elements: 24 kJ/mol of atoms
mass density: 6.5 g cm⁻³

abc: 4.464 4.464 4.464
angles: 60.00 60.00 60.00
Fractional coordinates of all 4 atoms:
Cr (0.000, 0.000, 0.000)
Cr (0.750, 0.750, 0.750)
Al (0.500, 0.500, 0.500)
In (0.250, 0.250, 0.250)

6.
A relaxed structure of ZrMn2P. Source: the Alexandria database, functional PBE.

Summary:
formation energy from the elements: -11 kJ/mol of atoms
mass density: 6.4 g cm⁻³

abc: 3.787 3.787 8.845
angles: 77.64 77.64 90.00
Fractional coordinates of all 8 atoms:
P (0.500, 0.500, 0.000)
P (0.250, 0.750, 0.500)
Mn (0.521, 0.125, 0.250)
Mn (0.229, 0.625, 0.250)
Mn (0.375, 0.479, 0.750)
Mn (0.875, 0.771, 0.750)
Zr (0.000, 0.000, 0.000)
Zr (0.750, 0.250, 0.500)

7.
A relaxed structure of Ca2Nb2SnO8. Source: the Alexandria database, functional PBE.

Summary:
formation energy from raw total energies: -2528 meV/atom
mass density: 4.5 g cm⁻³

abc: 10.593 10.593 5.483
angles: 87.04 87.04 38.45
Fractional coordinates of all 26 atoms:
Ca (0.434, 0.139, 0.241)
Ca (0.861, 0.566, 0.259)
Ca (0.566, 0.861, 0.759)
Ca (0.139, 0.434, 0.741)
Nb (0.268, 0.980, 0.253)
Nb (0.020, 0.732, 0.247)
Nb (0.732, 0.020, 0.747)
Nb (0.980, 0.268, 0.753)
Sn (0.693, 0.307, 0.250)
Sn (0.307, 0.693, 0.750)
O (0.177, 0.976, 0.586)
O (0.024, 0.823, 0.914)
O (0.823, 0.024, 0.414)
O (0.976, 0.177, 0.086)
O (0.386, 0.758, 0.095)
O (0.242, 0.614, 0.405)
O (0.614, 0.242, 0.905)
O (0.758, 0.386, 0.595)
O (0.266, 0.118, 0.983)
O (0.882, 0.734, 0.517)
O (0.857, 0.520, 0.861)
O (0.480, 0.143, 0.639)
O (0.143, 0.480, 0.139)
O (0.520, 0.857, 0.361)
O (0.118, 0.266, 0.483)
O (0.734, 0.882, 0.017)

8.
A relaxed structure of TcGeH2O. Source: the Alexandria database, functional PBE.

Summary:
mass density: 5.4 g cm⁻³
final energy: -4.98 eV per atom

abc: 3.331 5.219 3.331
angles: 90.00 90.00 90.00
Fractional coordinates of all 5 atoms:
H (0.000, 0.000, 0.500)
H (0.500, 0.000, 0.000)
Ge (0.000, 0.500, 0.000)
Tc (0.000, 0.000, 0.000)
O (0.500, 0.500, 0.500)

9.
A relaxed structure of ZrTl2Pt. Source: the Alexandria database, functional PBE.

Summary:
formation energy from the elements: -7 kJ/mol of atoms
offset from the most stable computed form: 0.204 eV per atom
mass density: 13.2 g cm⁻³

abc: 5.921 5.921 5.375
angles: 63.14 63.14 31.67
Fractional coordinates of all 4 atoms:
Pt (0.250, 0.250, 0.250)
Tl (0.983, 0.983, 0.017)
Tl (0.517, 0.517, 0.483)
Zr (0.750, 0.750, 0.750)

10.
A relaxed structure of DySbF. Source: the Alexandria database, functional PBE.

Summary:
formation energy from raw total energies: -2102 meV/atom
offset from the most stable computed form: 0.000 eV per atom
mass density: 6.8 g cm⁻³

abc: 7.263 7.704 5.742
angles: 90.00 112.73 90.00
Fractional coordinates of all 12 atoms:
Sb (0.588, 0.618, 0.880)
Sb (0.912, 0.118, 0.120)
Sb (0.412, 0.382, 0.120)
Sb (0.088, 0.882, 0.880)
Dy (0.266, 0.866, 0.465)
Dy (0.234, 0.366, 0.535)
Dy (0.734, 0.134, 0.535)
Dy (0.766, 0.634, 0.465)
F (0.070, 0.627, 0.413)
F (0.430, 0.127, 0.587)
F (0.930, 0.373, 0.587)
F (0.570, 0.873, 0.413)

11.
A relaxed structure of CeDyEr4S8. Source: the Alexandria database, functional PBE.

Summary:
formation energy from raw total energies: -1909 meV/atom
mass density: 5.5 g cm⁻³

abc: 8.048 8.048 8.065
angles: 60.07 60.07 60.00
Fractional coordinates of all 14 atoms:
Ce (0.374, 0.374, 0.877)
Dy (0.000, 0.000, 0.000)
Er (0.625, 0.625, 0.124)
Er (0.000, 0.500, 0.500)
Er (0.500, 0.000, 0.500)
Er (0.000, 0.000, 0.500)
S (0.239, 0.786, 0.735)
S (0.786, 0.239, 0.735)
S (0.239, 0.239, 0.735)
S (0.237, 0.237, 0.288)
S (0.756, 0.229, 0.260)
S (0.229, 0.756, 0.260)
S (0.756, 0.756, 0.260)
S (0.757, 0.757, 0.728)

12.
A relaxed structure of Dy6ScIn3. Source: the Alexandria database, functional PBE.

Summary:
formation energy from the elements: -26 kJ/mol of atoms
mass density: 8.0 g cm⁻³

abc: 5.232 9.764 11.462
angles: 105.56 90.00 90.00
Fractional coordinates of all 20 atoms:
Dy (0.250, 0.448, 0.090)
Dy (0.750, 0.552, 0.910)
Dy (0.250, 0.120, 0.181)
Dy (0.750, 0.880, 0.819)
Dy (0.250, 0.657, 0.682)
Dy (0.750, 0.343, 0.318)
Dy (0.250, 0.253, 0.498)
Dy (0.750, 0.747, 0.502)
Dy (0.250, 0.824, 0.298)
Dy (0.750, 0.176, 0.702)
Dy (0.250, 0.110, 0.885)
Dy (0.750, 0.890, 0.115)
Sc (0.250, 0.962, 0.596)
Sc (0.750, 0.038, 0.404)
In (0.250, 0.536, 0.389)
In (0.750, 0.464, 0.611)
In (0.250, 0.380, 0.787)
In (0.750, 0.620, 0.213)
In (0.250, 0.779, 0.971)
In (0.750, 0.221, 0.029)